1.
A plane-wave DFT calculation with PBE was carried out for a geometry-optimized BeAsW structure.

Computed properties:
E above lowest polymorph: 673 meV per atom
V: 15.7 Å³ per atom
E_form: 730 meV/atom

```
3
Lattice="-2.3313 2.8795 -1.6546 -3.7868 0.5650 1.3436 -0.9232 3.3318 2.1239" Properties=species:S:1:pos:R:3 pbc="T T T"
As -5.2810 5.0823 1.3597
W -3.5207 3.3882 0.9065
Be 0.0000 0.0000 0.0000
```

***

2.
A plane-wave DFT calculation with PBE was carried out for a geometry-optimized BeAsW structure.

Computed properties:
E above lowest polymorph: 492 meV per atom
V: 14.9 Å³ per atom
E_form: 549 meV/atom

```
3
Lattice="6.4694 -0.0670 0.0557 5.7092 2.6124 -0.0476 0.7601 -0.5935 2.6149" Properties=species:S:1:pos:R:3 pbc="T T T"
Be 8.4969 1.5333 0.8486
W 4.4572 0.4228 1.7709
As 12.1633 2.5412 0.0115
```

***

3.
A plane-wave DFT calculation with PBE was carried out for a geometry-optimized BeAsW2 structure.

Computed properties:
E above lowest polymorph: 326 meV per atom
V: 14.6 Å³ per atom
E_form: 432 meV/atom

```
4
Lattice="-0.7745 -1.9580 -2.3813 4.3520 -0.8714 -0.6990 -0.2015 -3.1116 2.6240" Properties=species:S:1:pos:R:3 pbc="T T T"
W 0.0000 0.0000 0.0000
W 1.7887 -1.4147 -1.5401
Be 2.0752 -1.9915 0.9625
As -0.4880 -2.5348 0.1214
```

***

4.
A plane-wave DFT calculation with PBE was carried out for a geometry-optimized BeAsW structure.

Computed properties:
E above lowest polymorph: 427 meV per atom
V: 14.5 Å³ per atom
E_form: 483 meV/atom

```
3
Lattice="-1.8014 -3.5095 1.8186 2.8359 2.3994 2.2516 -1.9947 1.4983 0.9157" Properties=species:S:1:pos:R:3 pbc="T T T"
As -1.9084 1.4335 0.8760
Be -0.7288 -1.1845 2.1801
W -0.3177 1.6374 2.8453
```

***

5.
A plane-wave DFT calculation with PBE was carried out for a geometry-optimized BeAsW2 structure.

Computed properties:
E above lowest polymorph: 332 meV per atom
V: 13.9 Å³ per atom
E_form: 437 meV/atom

```
4
Lattice="-3.6522 -1.9361 -1.1379 -3.6288 0.8533 2.1180 -3.1152 2.2480 -1.9035" Properties=species:S:1:pos:R:3 pbc="T T T"
Be 0.0000 0.0000 0.0000
W -2.5990 0.2913 -0.2309
W -7.7971 0.8739 -0.6926
As -5.1981 0.5826 -0.4617
```

***

6.
A plane-wave DFT calculation with PBE was carried out for a geometry-optimized Be3AsW structure.

Computed properties:
E above lowest polymorph: 0 meV per atom
V: 14.2 Å³ per atom
E_form: 1386 meV/atom

```
5
Lattice="4.1373 0.0000 0.0000 0.0000 4.1373 0.0000 0.0000 0.0000 4.1373" Properties=species:S:1:pos:R:3 pbc="T T T"
W 2.0686 2.0686 2.0686
As 0.0000 0.0000 0.0000
Be 0.0000 2.0686 0.0000
Be 2.0686 0.0000 0.0000
Be 0.0000 0.0000 2.0686
```

***

7.
A plane-wave DFT calculation with PBE was carried out for a geometry-optimized BeAsW4 structure.

Computed properties:
V: 17.3 Å³ per atom
E_form: 951 meV/atom

```
6
Lattice="0.0000 3.7283 3.7283 3.7283 0.0000 3.7283 3.7283 3.7283 0.0000" Properties=species:S:1:pos:R:3 pbc="T T T"
W 2.7850 2.7850 2.7850
W 4.6716 2.7850 4.6716
W 4.6716 4.6716 2.7850
W 2.7850 4.6716 4.6716
As 5.5925 5.5925 5.5925
Be 0.0000 0.0000 0.0000
```

***

8.
A plane-wave DFT calculation with PBE was carried out for a geometry-optimized Be3AsW structure.

Computed properties:
E above lowest polymorph: 83 meV per atom
V: 16.6 Å³ per atom
E_form: 1470 meV/atom

```
5
Lattice="-0.6698 2.8872 3.2003 -2.6683 -2.8213 1.9868 3.3850 -1.6526 2.1994" Properties=species:S:1:pos:R:3 pbc="T T T"
Be 1.6925 -0.8263 1.0997
Be -0.3349 1.4436 1.6002
Be -1.3341 -1.4106 0.9934
As 0.0234 -0.7934 3.6932
W 0.0000 0.0000 0.0000
```

***

9.
A plane-wave DFT calculation with PBE was carried out for a geometry-optimized BeAsW2 structure.

Computed properties:
E above lowest polymorph: 284 meV per atom
V: 15.8 Å³ per atom
E_form: 389 meV/atom

```
4
Lattice="-0.8809 -0.6158 -2.5421 1.8931 -1.8803 0.7056 -6.2452 -5.0195 3.3801" Properties=species:S:1:pos:R:3 pbc="T T T"
Be -4.4006 -5.1918 1.7374
As -3.0422 -2.4452 1.6465
W -0.9958 -2.4552 -0.1053
W -6.1620 -4.9527 3.3351
```

***

10.
A plane-wave DFT calculation with PBE was carried out for a geometry-optimized BeAsW2 structure.

Computed properties:
E above lowest polymorph: 408 meV per atom
V: 14.7 Å³ per atom
E_form: 514 meV/atom

```
4
Lattice="4.3657 0.0000 0.0000 2.1828 3.7808 0.0000 2.1828 1.2603 3.5646" Properties=species:S:1:pos:R:3 pbc="T T T"
As 4.3657 2.5205 1.7823
Be 2.1828 1.2603 0.8911
W 0.0000 0.0000 0.0000
W 6.5485 3.7808 2.6734
```

***

11.
A plane-wave DFT calculation with PBE was carried out for a geometry-optimized BeAsW2 structure.

Computed properties:
E above lowest polymorph: 283 meV per atom
V: 14.3 Å³ per atom
E_form: 389 meV/atom

```
4
Lattice="-3.9122 2.2913 1.5815 -2.3307 -2.8379 3.0937 4.2501 2.1495 -0.6112" Properties=species:S:1:pos:R:3 pbc="T T T"
W -0.0557 -0.0049 0.0417
W -3.0658 -0.2684 2.2959
Be -0.6010 -0.4809 2.4101
As -1.3918 2.0838 1.6540
```

***

12.
A plane-wave DFT calculation with PBE was carried out for a geometry-optimized BeAsW2 structure.

Computed properties:
E above lowest polymorph: 320 meV per atom
V: 14.6 Å³ per atom
E_form: 426 meV/atom

```
4
Lattice="-1.7071 3.3400 -1.3968 -2.5051 -1.2734 0.0166 -1.5397 1.2489 4.8681" Properties=species:S:1:pos:R:3 pbc="T T T"
Be -3.8872 1.6516 2.9652
W -1.5909 1.1956 4.8029
W -1.9713 0.0411 2.5076
As -1.8648 1.6639 0.5228
```